Model a:
# Tb4Sm2In

A relaxed structure of Tb4Sm2In (PBE-GGA, the Alexandria database).

Unit cell a=6.308 b=10.768 c=6.504 alpha=90.00 beta=90.07 gamma=90.00
Sites, in units of the cell vectors:
Tb (0.068, 0.154, 0.000)
Tb (0.068, 0.346, 0.500)
Tb (0.403, 0.750, 0.250)
Tb (0.403, 0.750, 0.750)
Tb (0.597, 0.250, 0.250)
Tb (0.597, 0.250, 0.750)
Tb (0.932, 0.654, 0.500)
Tb (0.932, 0.846, 0.000)
Sm (0.245, 0.041, 0.500)
Sm (0.245, 0.459, 0.000)
Sm (0.755, 0.541, 0.000)
Sm (0.755, 0.959, 0.500)
In (0.500, 0.000, 0.000)
In (0.500, 0.500, 0.500)

DOS at the Fermi energy = 1.33 states/eV/atom
V = 31.56 Å³/atom
space group = P2_1/c


Model b:
# Tb4Sm2In

A relaxed structure of Tb4Sm2In (PBE-GGA, the Alexandria database).

Unit cell a=19.643 b=19.643 c=19.643 alpha=10.61 beta=10.61 gamma=10.61
Sites, in units of the cell vectors:
Tb (0.092, 0.092, 0.092)
Tb (0.291, 0.291, 0.291)
Tb (0.709, 0.709, 0.709)
Tb (0.908, 0.908, 0.908)
Sm (0.192, 0.192, 0.192)
Sm (0.808, 0.808, 0.808)
In (0.000, 0.000, 0.000)

DOS at the Fermi energy = 1.60 states/eV/atom
V = 31.90 Å³/atom
space group = R-3m


Which is the most stable structure? model b is the most stable.


Model a:
# TbSmIn6

A relaxed structure of TbSmIn6 (PBE-GGA, the Alexandria database).

Unit cell a=6.662 b=6.662 c=5.304 alpha=90.00 beta=90.00 gamma=120.00
Sites, in units of the cell vectors:
Tb (0.000, 0.000, 0.000)
Sm (0.333, 0.667, 0.500)
In (0.344, 0.172, 0.500)
In (0.507, 0.014, 0.000)
In (0.507, 0.493, 0.000)
In (0.828, 0.172, 0.500)
In (0.828, 0.656, 0.500)
In (0.986, 0.493, 0.000)

DOS at the Fermi energy = 0.57 states/eV/atom
V = 25.49 Å³/atom
space group = P-6m2


Model b:
# TbSmIn6

A relaxed structure of TbSmIn6 (PBE-GGA, the Alexandria database).

Unit cell a=4.665 b=4.665 c=9.328 alpha=90.00 beta=90.00 gamma=90.00
Sites, in units of the cell vectors:
Tb (0.000, 0.000, 0.000)
Sm (0.000, 0.000, 0.500)
In (0.000, 0.500, 0.248)
In (0.000, 0.500, 0.752)
In (0.500, 0.000, 0.248)
In (0.500, 0.000, 0.752)
In (0.500, 0.500, 0.000)
In (0.500, 0.500, 0.500)

DOS at the Fermi energy = 0.34 states/eV/atom
V = 25.37 Å³/atom
space group = P4/mmm


Which is the most stable structure? model b is the most stable.


Model a:
# Tb3Sm2In2

A relaxed structure of Tb3Sm2In2 (PBE-GGA, the Alexandria database).

Unit cell a=12.529 b=12.529 c=3.478 alpha=90.00 beta=90.00 gamma=158.06
Sites, in units of the cell vectors:
Tb (0.000, 0.000, 0.000)
Tb (0.137, 0.863, 0.000)
Tb (0.863, 0.137, 0.000)
Sm (0.289, 0.711, 0.500)
Sm (0.711, 0.289, 0.500)
In (0.430, 0.570, 0.500)
In (0.570, 0.430, 0.500)

DOS at the Fermi energy = 1.04 states/eV/atom
V = 29.15 Å³/atom
space group = Cmmm


Model b:
# Tb3Sm2In2

A relaxed structure of Tb3Sm2In2 (PBE-GGA, the Alexandria database).

Unit cell a=8.685 b=8.685 c=7.661 alpha=112.90 beta=112.90 gamma=23.81
Sites, in units of the cell vectors:
Tb (0.000, 0.000, 0.000)
Tb (0.196, 0.196, 0.305)
Tb (0.804, 0.804, 0.695)
Sm (0.140, 0.140, 0.783)
Sm (0.860, 0.860, 0.217)
In (0.448, 0.448, 0.618)
In (0.552, 0.552, 0.382)

DOS at the Fermi energy = 1.24 states/eV/atom
V = 30.58 Å³/atom
space group = C2/m


Which is the most stable structure? model a is the most stable.


Model a:
# TbSmIn

A relaxed structure of TbSmIn (PBE-GGA, the Alexandria database).

Unit cell a=5.276 b=5.276 c=3.679 alpha=90.00 beta=90.00 gamma=120.00
Sites, in units of the cell vectors:
Tb (0.000, 0.000, 0.000)
Sm (0.667, 0.333, 0.559)
In (0.333, 0.667, 0.238)

DOS at the Fermi energy = 0.70 states/eV/atom
V = 29.55 Å³/atom
space group = P3m1


Model b:
# TbSmIn

A relaxed structure of TbSmIn (PBE-GGA, the Alexandria database).

Unit cell a=5.471 b=5.471 c=6.770 alpha=90.00 beta=90.00 gamma=120.00
Sites, in units of the cell vectors:
Tb (0.333, 0.667, 0.250)
Tb (0.667, 0.333, 0.750)
Sm (0.000, 0.000, 0.000)
Sm (0.000, 0.000, 0.500)
In (0.333, 0.667, 0.750)
In (0.667, 0.333, 0.250)

DOS at the Fermi energy = 1.31 states/eV/atom
V = 29.26 Å³/atom
space group = P6_3/mmc


Which is the most stable structure? model b is the most stable.